(1)
9
Lattice="-1.7574 -2.7708 -0.3777 2.3030 -4.1667 5.4099 -5.8937 1.2298 3.9603" Properties=species:S:1:pos:R:3 comment="TiNb8 (PBE, relaxed)" magnetic_moment_mub_per_cell=0.00 e_form_kj_per_mol_atoms=-1 pbc="T T T"
Ti 0.0000 0.0000 0.0000
Nb -5.0945 -1.0305 2.3833
Nb -2.5565 -0.5104 1.1993
Nb -2.9834 -2.8818 6.1410
Nb 0.3599 -4.6215 3.3479
Nb -0.4122 -2.3790 4.9297
Nb 0.1858 -2.3159 1.6843
Nb -2.3647 -2.8258 2.8514
Nb -3.1784 -0.5579 4.4405

(2)
3
Lattice="3.3127 0.0000 0.0000 0.0000 3.3127 0.0000 -1.6563 -1.6563 4.8669" Properties=species:S:1:pos:R:3 comment="TiNb2 (PBE, relaxed)" magnetic_moment_mub_per_cell=0.00 e_form_kj_per_mol_atoms=2 polymorph_energy_ev_per_atom=0.000 pbc="T T T"
Nb 1.6563 1.6563 1.6579
Nb 0.0000 0.0000 3.2089
Ti 0.0000 0.0000 0.0000

(3)
4
Lattice="2.8225 0.0000 0.0000 0.0000 4.7272 0.0000 0.0000 0.0000 5.2595" Properties=species:S:1:pos:R:3 comment="Ti3Nb (PBE, relaxed)" magnetic_moment_mub_per_cell=0.00 e_form_kj_per_mol_atoms=6 pbc="T T T"
Nb 0.0000 0.0000 0.1892
Ti 0.0000 2.3636 1.6301
Ti 1.4112 0.0000 2.7532
Ti 1.4112 2.3636 4.1928

(4)
4
Lattice="-1.8367 -1.8743 -1.1713 1.4204 -1.1398 2.2230 -6.5292 2.8711 5.6442" Properties=species:S:1:pos:R:3 comment="Ti3Nb (PBE, relaxed)" magnetic_moment_mub_per_cell=0.00 e_form_kj_per_mol_atoms=4 pbc="T T T"
Nb -2.6711 0.1092 4.1833
Ti 0.8410 -1.2705 1.6192
Ti -6.0464 0.4447 3.8085
Ti -2.7498 -1.0050 0.9587

(5)
14
Lattice="-4.6150 -2.2839 -1.2363 2.4576 -4.8655 -0.1858 0.9143 -0.5223 8.8934" Properties=species:S:1:pos:R:3 comment="Ti5Nb2 (PBE, relaxed)" magnetic_moment_mub_per_cell=0.00 e_form_kj_per_mol_atoms=6 pbc="T T T"
Ti 0.2943 -3.0660 2.1647
Ti -3.7431 -2.6565 5.1378
Ti 1.2877 -3.9746 4.7168
Ti -0.4145 -5.6905 2.8993
Ti -2.5308 -3.6970 2.7545
Ti -0.8286 -1.9811 4.5720
Ti 2.5000 -5.0152 2.3335
Ti -1.5374 -4.6057 5.3066
Ti -3.4724 -3.2389 -1.1412
Ti 1.3149 -3.9105 -0.2809
Nb 0.3282 -2.9824 7.1576
Nb -1.6310 -1.6780 0.7198
Nb -1.5713 -4.6893 0.3137
Nb 0.3879 -5.9937 6.7515

(6)
10
Lattice="-3.1016 0.6426 -4.6949 -5.0840 -2.4643 -0.3946 -5.6094 4.9106 0.9619" Properties=species:S:1:pos:R:3 comment="Ti3Nb2 (PBE, relaxed)" magnetic_moment_mub_per_cell=3.56 e_form_kj_per_mol_atoms=30 polymorph_energy_ev_per_atom=0.253 pbc="T T T"
Nb -9.8263 1.3208 -3.5754
Nb -2.9288 -0.2237 -1.5117
Nb -3.9687 1.7681 -0.5521
Nb -10.8662 3.3125 -2.6158
Ti -8.7953 1.9953 -0.7481
Ti -7.8044 3.5487 -2.8984
Ti -6.2534 3.2276 -0.5510
Ti -5.9906 -0.4599 -1.2291
Ti -7.5416 -0.1387 -3.5765
Ti -4.9997 1.0935 -3.3795